! TmAlGaRu, optimized geometry, DFT PBE; values from VASP
&SYSTEM
  ibrav = 0, nat = 12, ntyp = 4
/
ATOMIC_SPECIES
Tm 168.93 Tm.upf
Al 26.98 Al.upf
Ga 69.72 Ga.upf
Ru 101.07 Ru.upf
ATOMIC_POSITIONS angstrom
Tm 0.0000 0.0000 0.0000
Tm 0.0000 2.4393 9.7442
Tm 2.1125 1.2196 4.8721
Al 0.0000 0.0000 11.5238
Al 0.0000 2.4393 6.6518
Al 2.1125 1.2196 1.7797
Ga 0.0000 0.0000 3.1322
Ga 0.0000 2.4393 12.8763
Ga 2.1125 1.2196 8.0042
Ru 0.0000 0.0000 7.1729
Ru 0.0000 2.4393 2.3008
Ru 2.1125 1.2196 12.0450
CELL_PARAMETERS angstrom
4.2249 0.0000 0.0000
-2.1125 3.6589 0.0000
0.0000 0.0000 14.6163
! final energy = -5.62 eV/atom
! crystal system = trigonal
! N(E_F) = 6.3 states/eV/cell
! DFT formation energy = -0.49 eV/atom

! Tb4Tl3Co, optimized geometry, DFT PBE; values from VASP
&SYSTEM
  ibrav = 0, nat = 8, ntyp = 3
/
ATOMIC_SPECIES
Tb 158.93 Tb.upf
Tl 204.38 Tl.upf
Co 58.93 Co.upf
ATOMIC_POSITIONS angstrom
Tb 0.0000 0.0000 1.6051
Tb 0.0000 0.0000 5.8824
Tb 0.0000 0.0000 10.1701
Tb 0.0000 0.0000 14.4473
Tl 1.7813 1.7813 3.7771
Tl 1.7813 1.7813 8.0262
Tl 1.7813 1.7813 12.2753
Co 1.7813 1.7813 0.0000
CELL_PARAMETERS angstrom
3.5625 0.0000 0.0000
0.0000 3.5625 0.0000
0.0000 0.0000 16.0524
! final energy = -4.38 eV/atom
! crystal system = tetragonal
! N(E_F) = 5.8 states/eV/cell
! DFT formation energy = -0.29 eV/atom

! CsRb2NaIn, optimized geometry, DFT PBE; values from VASP
&SYSTEM
  ibrav = 0, nat = 5, ntyp = 4
/
ATOMIC_SPECIES
Cs 132.91 Cs.upf
Rb 85.47 Rb.upf
Na 22.99 Na.upf
In 114.82 In.upf
ATOMIC_POSITIONS angstrom
Cs 0.0000 0.0000 0.0000
Rb 0.0000 3.6632 3.1852
Rb 3.6632 0.0000 3.1852
Na 3.6632 3.6632 0.0000
In 3.6632 3.6632 3.1852
CELL_PARAMETERS angstrom
7.3263 0.0000 0.0000
0.0000 7.3263 0.0000
0.0000 0.0000 6.3704
! final energy = -1.31 eV/atom
! crystal system = tetragonal
! N(E_F) = 3.2 states/eV/cell
! DFT formation energy = 0.06 eV/atom

! KCa2S, optimized geometry, DFT PBE; values from VASP
&SYSTEM
  ibrav = 0, nat = 16, ntyp = 3
/
ATOMIC_SPECIES
K 39.10 K.upf
Ca 40.08 Ca.upf
S 32.06 S.upf
ATOMIC_POSITIONS angstrom
K 0.0000 0.0000 0.0000
K 0.0000 4.2465 2.9715
K 4.2465 0.0000 8.9145
K 4.2465 4.2465 5.9430
Ca 0.5195 2.1233 7.4288
Ca 2.1233 4.7660 10.4003
Ca 2.1233 7.9735 4.4573
Ca 3.7270 2.1233 1.4858
Ca 4.7660 6.3698 1.4858
Ca 6.3698 0.5195 4.4573
Ca 6.3698 3.7270 10.4003
Ca 7.9735 6.3698 7.4288
S 0.0000 0.0000 5.9430
S 0.0000 4.2465 8.9145
S 4.2465 0.0000 2.9715
S 4.2465 4.2465 0.0000
CELL_PARAMETERS angstrom
8.4930 0.0000 0.0000
0.0000 8.4930 0.0000
0.0000 0.0000 11.8861
! final energy = -2.97 eV/atom
! crystal system = tetragonal
! N(E_F) = 13.3 states/eV/cell
! energy relative to the elements, uncorrected = -665 meV per atom